Compound: SrCa3
Source: Alexandria via LeMat-Bulk
Functional: meta-GGA SCAN
Structure: PBEsol geometry

```
SrCa3
1.0
3.939 0.000 0.000
1.969 3.411 0.000
1.969 1.137 12.823
Ca Sr
3 1
direct
0.753 0.753 0.742
0.500 0.500 0.500
0.247 0.247 0.258
0.000 0.000 0.000
```

Results
The energy above the most stable polymorph in this dataset comes out at 0.009 eV per atom. As for the space group: R-3m. The crystal system is trigonal. For the formation energy from the elements, the calculation gives 8 kJ/mol of formula units. For the electronic total energy, the calculation gives -51.18 eV per cell.